Entry 1:
Computed, not measured: Rb3Ce3DyO8 after structural relaxation at the PBE-GGA level of DFT.

Cell and atoms, written as POSCAR:
```
Rb3Ce3DyO8
1.0
3.600 2.078 6.638
-3.600 2.078 6.638
0.000 -4.156 6.638
Rb Ce Dy O
3 3 1 8
direct
0.000 0.500 0.500
0.500 0.000 0.500
0.500 0.500 0.000
0.000 0.000 0.500
0.000 0.500 0.000
0.500 0.000 0.000
0.500 0.500 0.500
0.226 0.226 0.226
0.228 0.718 0.718
0.282 0.282 0.772
0.282 0.772 0.282
0.718 0.228 0.718
0.718 0.718 0.228
0.772 0.282 0.282
0.774 0.774 0.774
```

Summary:
- volume (A^3/atom) = 19.86
- uncorrected energy (eV per atom) = -7.124

Entry 2:
Computed, not measured: MnTeS2 after structural relaxation at the PBE-GGA level of DFT.

Cell and atoms, written as POSCAR:
```
MnTeS2
1.0
8.059 0.000 0.000
0.000 9.381 0.000
-3.560 0.000 4.930
Mn Te S
4 4 8
direct
0.000 0.135 0.000
0.000 0.865 0.500
0.500 0.365 0.500
0.500 0.635 0.000
0.089 0.415 0.205
0.089 0.585 0.705
0.589 0.085 0.705
0.589 0.915 0.205
0.088 0.073 0.414
0.088 0.927 0.914
0.267 0.271 0.059
0.267 0.729 0.559
0.588 0.427 0.914
0.588 0.573 0.414
0.767 0.229 0.559
0.767 0.771 0.059
```

Summary:
- volume (A^3/atom) = 23.29
- uncorrected energy (eV per atom) = -5.291

What did the second record say?
Computed, not measured: MnTeS2 after structural relaxation at the PBE-GGA level of DFT.

Cell and atoms, written as POSCAR:
```
MnTeS2
1.0
8.059 0.000 0.000
0.000 9.381 0.000
-3.560 0.000 4.930
Mn Te S
4 4 8
direct
0.000 0.135 0.000
0.000 0.865 0.500
0.500 0.365 0.500
0.500 0.635 0.000
0.089 0.415 0.205
0.089 0.585 0.705
0.589 0.085 0.705
0.589 0.915 0.205
0.088 0.073 0.414
0.088 0.927 0.914
0.267 0.271 0.059
0.267 0.729 0.559
0.588 0.427 0.914
0.588 0.573 0.414
0.767 0.229 0.559
0.767 0.771 0.059
```

Summary:
- volume (A^3/atom) = 23.29
- uncorrected energy (eV per atom) = -5.291